A relaxed structure of KVF2. Source: Alexandria via LeMat-Bulk, functional GGA+U.

Calculated values
total magnetization	7.3	μB/cell
energy above the lowest structure with this stoichiometry	0.124	eV per atom
Fermi-level density of states	5.4	states/eV/cell
calculated volume	171	Å³ per cell

a = 7.0072 Å, b = 7.0072 Å, c = 7.0072 Å
α = 134.65°, β = 134.65°, γ = 66.08°
With the nearest neighbours (Å) after each atom.
Fractional coordinates of all 8 atoms:
K: 0.0000 0.0000 0.0000  4 F 2.72
K: 0.7500 0.2500 0.5000  4 F 2.72
V: 0.2500 0.7500 0.5000  4 F 2.17
V: 0.5000 0.5000 0.0000  4 F 2.17
F: 0.2174 0.6250 0.0924  2 V 2.17
F: 0.3750 0.4674 0.5924  2 V 2.17
F: 0.5326 0.1250 0.9076  2 V 2.17
F: 0.8750 0.7826 0.4076  2 V 2.17